1.
Here is Rb3ZrPb2S6 after structural relaxation from Alexandria. Energies are from PBE-GGA.

Cell: 7.195 7.195 7.979 Å, 98.66 98.66 119.95°
Positions (direct):
Rb 0.174 0.826 0.500
Rb 0.826 0.174 0.500
Rb 0.500 0.500 0.500
Zr 0.000 0.000 0.000
Pb 0.334 0.666 0.000
Pb 0.666 0.334 0.000
S 0.936 0.634 0.806
S 0.766 0.766 0.196
S 0.064 0.366 0.194
S 0.634 0.936 0.806
S 0.234 0.234 0.804
S 0.366 0.064 0.194

Calculated values
formation energy without anion corrections: -1037 meV per atom
spin magnetization: 0.0 μB per formula unit
DOS(E_F): 0.41 states/eV per atom
ρ: 4.6 Mg/m³



2.
Here is Rb2Sb2Pb after structural relaxation from Alexandria. Energies are from PBE-GGA.

Cell: 5.033 5.033 8.565 Å, 72.91 72.91 90.00°
Positions (direct):
Pb 0.000 0.000 0.000
Sb 0.411 0.411 0.177
Sb 0.589 0.589 0.823
Rb 0.750 0.250 0.500
Rb 0.250 0.750 0.500

Calculated values
formation energy without anion corrections: 74 meV per atom
spin magnetization: 0.0 μB per formula unit
DOS(E_F): 0.70 states/eV per atom
ρ: 5.2 Mg/m³
energy above the most stable polymorph in this dataset: 2.00 eV per formula unit



3.
Here is Rb2SbPb after structural relaxation from Alexandria. Energies are from PBE-GGA.

Cell: 6.131 6.131 6.131 Å, 60.00 60.00 60.00°
Positions (direct):
Pb 0.500 0.500 0.500
Sb 0.000 0.000 0.000
Rb 0.250 0.250 0.250
Rb 0.750 0.750 0.750

Calculated values
formation energy without anion corrections: 24 meV per atom
spin magnetization: 0.6 μB per formula unit
DOS(E_F): 0.75 states/eV per atom
ρ: 5.1 Mg/m³
energy above the most stable polymorph in this dataset: 0.66 eV per formula unit



4.
Here is RbSb6Pb8 after structural relaxation from Alexandria. Energies are from PBE-GGA.

Cell: 7.848 7.848 11.088 Å, 69.27 69.27 60.00°
Positions (direct):
Rb 0.000 0.000 0.000
Sb 0.932 0.570 0.209
Sb 0.712 0.068 0.791
Sb 0.430 0.712 0.791
Sb 0.570 0.288 0.209
Sb 0.288 0.932 0.209
Sb 0.068 0.430 0.791
Pb 0.805 0.437 0.635
Pb 0.877 0.195 0.365
Pb 0.563 0.877 0.365
Pb 0.333 0.333 0.000
Pb 0.667 0.667 0.000
Pb 0.437 0.123 0.635
Pb 0.123 0.805 0.635
Pb 0.195 0.563 0.365

Calculated values
formation energy without anion corrections: -22 meV per atom
spin magnetization: 0.0 μB per formula unit
DOS(E_F): 0.39 states/eV per atom
ρ: 7.6 Mg/m³



5.
Here is RbSb2Pb3 after structural relaxation from Alexandria. Energies are from PBE-GGA.

Cell: 4.565 10.258 10.395 Å, 70.31 77.31 77.14°
Positions (direct):
Rb 0.874 0.122 0.130
Rb 0.126 0.878 0.870
Sb 0.493 0.195 0.819
Sb 0.507 0.805 0.181
Sb 0.819 0.691 0.672
Sb 0.181 0.309 0.328
Pb 0.318 0.490 0.873
Pb 0.997 0.362 0.644
Pb 0.676 0.121 0.527
Pb 0.324 0.879 0.473
Pb 0.003 0.638 0.356
Pb 0.682 0.510 0.127

Calculated values
formation energy without anion corrections: -109 meV per atom
spin magnetization: 0.0 μB per formula unit
DOS(E_F): 0.39 states/eV per atom
ρ: 7.2 Mg/m³
energy above the most stable polymorph in this dataset: 0.07 eV per formula unit



6.
Here is RbSbPb after structural relaxation from Alexandria. Energies are from PBE-GGA.

Cell: 5.129 10.538 8.844 Å, 90.00 90.00 90.00°
Positions (direct):
Rb 0.250 0.819 0.488
Rb 0.750 0.319 0.012
Rb 0.250 0.681 0.988
Rb 0.750 0.181 0.512
Sb 0.750 0.601 0.295
Sb 0.750 0.899 0.795
Sb 0.250 0.101 0.205
Sb 0.250 0.399 0.705
Pb 0.750 0.931 0.146
Pb 0.750 0.569 0.646
Pb 0.250 0.069 0.854
Pb 0.250 0.431 0.354

Calculated values
formation energy without anion corrections: -313 meV per atom
spin magnetization: 0.0 μB per formula unit
DOS(E_F): 0.01 states/eV per atom
ρ: 5.8 Mg/m³



7.
Here is Rb2Sb2Pb after structural relaxation from Alexandria. Energies are from PBE-GGA.

Cell: 10.712 10.712 3.324 Å, 90.00 90.00 90.00°
Positions (direct):
Pb 0.000 0.000 0.000
Pb 0.500 0.500 0.000
Sb 0.184 0.684 0.500
Sb 0.684 0.816 0.500
Sb 0.816 0.316 0.500
Sb 0.316 0.184 0.500
Rb 0.385 0.885 0.000
Rb 0.885 0.615 0.000
Rb 0.615 0.115 0.000
Rb 0.115 0.385 0.000

Calculated values
formation energy without anion corrections: 87 meV per atom
spin magnetization: 0.0 μB per formula unit
DOS(E_F): 0.66 states/eV per atom
ρ: 5.4 Mg/m³
energy above the most stable polymorph in this dataset: 2.07 eV per formula unit



8.
Here is RbSb2Pb6 after structural relaxation from Alexandria. Energies are from PBE-GGA.

Cell: 5.047 5.047 12.232 Å, 90.00 90.00 90.00°
Positions (direct):
Rb 0.000 0.000 0.000
Sb 0.500 0.500 0.122
Sb 0.500 0.500 0.878
Pb 0.000 0.500 0.293
Pb 0.500 0.000 0.293
Pb 0.000 0.500 0.707
Pb 0.500 0.000 0.707
Pb 0.500 0.500 0.500
Pb 0.000 0.000 0.500

Calculated values
formation energy without anion corrections: -90 meV per atom
spin magnetization: 0.0 μB per formula unit
DOS(E_F): 0.43 states/eV per atom
ρ: 8.4 Mg/m³



9.
Here is RbSb2Pb3 after structural relaxation from Alexandria. Energies are from PBE-GGA.

Cell: 5.512 9.673 9.817 Å, 116.41 90.00 106.55°
Positions (direct):
Rb 0.855 0.710 0.926
Rb 0.145 0.290 0.074
Sb 0.478 0.956 0.834
Sb 0.522 0.044 0.166
Sb 0.812 0.623 0.249
Sb 0.188 0.377 0.751
Pb 0.289 0.579 0.584
Pb 0.945 0.889 0.603
Pb 0.592 0.184 0.670
Pb 0.408 0.816 0.330
Pb 0.055 0.111 0.397
Pb 0.711 0.421 0.416

Calculated values
formation energy without anion corrections: -121 meV per atom
spin magnetization: 0.0 μB per formula unit
DOS(E_F): 0.39 states/eV per atom
ρ: 7.1 Mg/m³
energy above the most stable polymorph in this dataset: 0.00 eV per formula unit



10.
Here is RbSb2Pb4 after structural relaxation from Alexandria. Energies are from PBE-GGA.

Cell: 5.243 4.954 9.915 Å, 104.47 90.00 90.00°
Positions (direct):
Rb 0.000 0.000 0.000
Sb 0.500 0.579 0.159
Sb 0.500 0.421 0.841
Pb 0.500 0.819 0.638
Pb 0.000 0.687 0.373
Pb 0.500 0.181 0.362
Pb 0.000 0.313 0.627

Calculated values
formation energy without anion corrections: -120 meV per atom
spin magnetization: 0.0 μB per formula unit
DOS(E_F): 0.47 states/eV per atom
ρ: 7.7 Mg/m³
energy above the most stable polymorph in this dataset: 0.00 eV per formula unit



11.
Here is RbSbPb after structural relaxation from Alexandria. Energies are from PBE-GGA.

Cell: 4.569 8.457 7.065 Å, 86.35 108.94 74.41°
Positions (direct):
Sb 0.542 0.258 0.345
Sb 0.458 0.742 0.655
Pb 0.110 0.035 0.259
Pb 0.890 0.965 0.741
Rb 0.791 0.646 0.229
Rb 0.209 0.354 0.771

Calculated values
formation energy without anion corrections: -300 meV per atom
spin magnetization: 0.0 μB per formula unit
DOS(E_F): 0.07 states/eV per atom
ρ: 5.6 Mg/m³



spin magnetization of number 10 (RbSb2Pb4)? 0.0 μB per formula unit